[1]
# CaGaRh

Crystalline CaGaRh at its relaxed geometry (PBE, Alexandria via LeMat-Bulk).

a = 5.030 Å, b = 7.562 Å, c = 7.567 Å
α = 72.68°, β = 73.39°, γ = 73.39°
Fractional positions:
Ca (0.231, 0.673, 0.923)
Ca (0.769, 0.827, 0.577)
Ca (0.769, 0.327, 0.077)
Ca (0.231, 0.173, 0.423)
Ga (0.157, 0.424, 0.675)
Ga (0.157, 0.924, 0.175)
Ga (0.843, 0.576, 0.325)
Ga (0.843, 0.076, 0.825)
Rh (0.652, 0.422, 0.671)
Rh (0.651, 0.922, 0.171)
Rh (0.348, 0.578, 0.329)
Rh (0.349, 0.078, 0.829)

Computed properties:
symmetry = No. 11
magnetization = 0.000 μB per formula unit
DOS(E_F) = 7.08 states/eV/cell
total energy = -55.3 eV/cell
E_form = -479 meV/atom

***

[2]
# CaGaRh3

Crystalline CaGaRh3 at its relaxed geometry (PBE, Alexandria via LeMat-Bulk).

a = 4.627 Å, b = 4.627 Å, c = 4.627 Å
α = 90.00°, β = 90.00°, γ = 90.00°
Fractional positions:
Ca (0.500, 0.500, 0.500)
Rh (0.000, 0.500, 0.000)
Rh (0.000, 0.000, 0.500)
Rh (0.500, 0.000, 0.000)
Ga (0.000, 0.000, 0.000)

Computed properties:
symmetry = No. 221
magnetization = 1.382 μB per formula unit
DOS(E_F) = 5.28 states/eV/cell
total energy = -26.8 eV/cell
E_form = 63 meV/atom